No. 1
Density functional theory data (PBE) for a geometry-optimized Fe3RhW structure.

Lattice parameters (Å, degrees): 4.3055 4.3055 4.3055 90.00 90.00 90.00
Fractional coordinates of all 5 atoms:
Fe  0.0000  0.5000  0.0000
W  0.5000  0.5000  0.5000
Rh  0.0000  0.0000  0.0000
Fe  0.5000  0.0000  0.0000
Fe  0.0000  0.0000  0.5000

D(E_F), states/eV/f.u.: 13.9
Final energy, eV/atom: -7.0923
Formation energy from the elements, eV/atom: 2.046
Distance to the lowest polymorph of the same formula, meV/atom: 430
Calculated volume, Å³/f.u.: 79.81

***

No. 2
Density functional theory data (PBE) for a geometry-optimized PuNpPa2S4 structure.

Lattice parameters (Å, degrees): 3.8652 6.9633 6.6028 109.14 90.00 90.00
Fractional coordinates of all 8 atoms:
Pa  0.0000  0.5000  0.5000
S  0.5000  0.7515  0.7526
Pu  0.5000  0.5000  0.0000
Np  0.0000  0.0000  0.0000
S  0.0000  0.7486  0.2488
Pa  0.5000  0.0000  0.5000
S  0.0000  0.2514  0.7512
S  0.5000  0.2485  0.2474

D(E_F), states/eV/f.u.: 12.9
Final energy, eV/atom: -9.4378
Calculated volume, Å³/f.u.: 167.89

***

No. 3
Density functional theory data (PBE) for a geometry-optimized ThMg2ZnHg4 structure.

Lattice parameters (Å, degrees): 4.8660 4.8660 9.3921 74.99 74.99 60.00
Fractional coordinates of all 8 atoms:
Hg  0.3892  0.3892  0.8323
Th  0.0000  0.0000  0.0000
Mg  0.7572  0.7572  0.7283
Hg  0.1262  0.1262  0.6213
Hg  0.6108  0.6108  0.1677
Mg  0.2428  0.2428  0.2717
Zn  0.5000  0.5000  0.5000
Hg  0.8738  0.8738  0.3787

D(E_F), states/eV/f.u.: 3.8
Final energy, eV/atom: -1.8109
Formation energy from the elements, eV/atom: -0.175
Calculated volume, Å³/f.u.: 183.77

***

No. 4
Density functional theory data (PBE) for a geometry-optimized Y2AlVPb structure.

Lattice parameters (Å, degrees): 5.1714 4.9806 5.1714 90.00 90.00 90.00
Fractional coordinates of all 5 atoms:
Y  0.5000  0.0000  0.0000
Y  0.0000  0.0000  0.5000
Pb  0.5000  0.5000  0.5000
V  0.0000  0.0000  0.0000
Al  0.0000  0.5000  0.0000

D(E_F), states/eV/f.u.: 4.2
Final energy, eV/atom: -5.5684
Formation energy from the elements, eV/atom: 0.331
Calculated volume, Å³/f.u.: 133.20

***

No. 5
Density functional theory data (PBE) for a geometry-optimized Sr2ReW structure.

Lattice parameters (Å, degrees): 6.3630 6.1110 2.8490 90.07 63.25 114.56
Fractional coordinates of all 4 atoms:
Sr  0.0000  0.0000  0.0000
W  0.0000  0.5000  0.5000
Re  0.5000  0.5000  0.0000
Sr  0.5000  0.0000  0.5000

D(E_F), states/eV/f.u.: 2.3
Final energy, eV/atom: -5.8907
Formation energy from the elements, eV/atom: 1.301
Distance to the lowest polymorph of the same formula, meV/atom: 776
Calculated volume, Å³/f.u.: 87.58

***

No. 6
Density functional theory data (PBE) for a geometry-optimized PuMgAgPt structure.

Lattice parameters (Å, degrees): 4.8979 4.8979 4.8979 60.00 60.00 60.00
Fractional coordinates of all 4 atoms:
Mg  0.0000  0.0000  0.0000
Pu  0.5000  0.5000  0.5000
Pt  0.2500  0.2500  0.2500
Ag  0.7500  0.7500  0.7500

D(E_F), states/eV/f.u.: 12.1
Final energy, eV/atom: -6.5740
Formation energy from the elements, eV/atom: -0.369
Calculated volume, Å³/f.u.: 83.08

***

No. 7
Density functional theory data (PBE) for a geometry-optimized CaTcAs2 structure.

Lattice parameters (Å, degrees): 4.4464 3.4619 6.3509 74.19 90.00 90.00
Fractional coordinates of all 4 atoms:
As  0.0000  0.8936  0.8386
As  0.5000  0.1813  0.2621
Ca  0.0000  0.6028  0.4194
Tc  0.5000  0.8223  0.9799

D(E_F), states/eV/f.u.: 2.4
Final energy, eV/atom: -5.7342
Formation energy from the elements, eV/atom: -0.318
Distance to the lowest polymorph of the same formula, meV/atom: 132
Calculated volume, Å³/f.u.: 94.06

***

No. 8
Density functional theory data (PBE) for a geometry-optimized Hf12TiPb6 structure.

Lattice parameters (Å, degrees): 7.5833 7.5833 7.5833 91.34 91.34 91.34
Fractional coordinates of all 19 atoms:
Pb  0.2589  0.7235  0.8750
Hf  0.1439  0.3715  0.0600
Hf  0.4524  0.7992  0.5241
Pb  0.2765  0.1250  0.7411
Hf  0.4759  0.5476  0.2008
Pb  0.7235  0.8750  0.2589
Hf  0.6285  0.9400  0.8561
Hf  0.0600  0.1439  0.3715
Hf  0.8561  0.6285  0.9400
Hf  0.9400  0.8561  0.6285
Hf  0.7992  0.5241  0.4524
Hf  0.5476  0.2008  0.4759
Pb  0.8750  0.2589  0.7235
Hf  0.2008  0.4759  0.5476
Ti  0.0000  0.0000  0.0000
Hf  0.5241  0.4524  0.7992
Pb  0.1250  0.7411  0.2765
Pb  0.7411  0.2765  0.1250
Hf  0.3715  0.0600  0.1439

D(E_F), states/eV/f.u.: 14.7
Final energy, eV/atom: -7.7633
Formation energy from the elements, eV/atom: 0.110
Calculated volume, Å³/f.u.: 435.73

***

Question: Look up the calculated volume of the eighth one.
Answer: 435.73 Å³/f.u.

***

Question: Which of these has the highest calculated volume?
Answer: Hf12TiPb6